Entry 1:
Entry from Alexandria via LeMat-Bulk: K2TaGeP after structural relaxation (PBE-GGA).

Summary:
- Space group: P4/mmm
- Total energy: -3.465 eV per atom
- Formation energy from the elements: 1.350 eV/atom
- Crystal system: tetragonal

a b c (Å): 6.559 6.559 4.466
angles (deg): 90.00 90.00 90.00
Positions (direct):
K  0.000  0.500  0.000
K  0.500  0.000  0.000
Ta  0.000  0.000  0.500
Ge  0.500  0.500  0.000
P  0.500  0.500  0.500

---

Entry 2:
Entry from Alexandria via LeMat-Bulk: CsVSe2Br after structural relaxation (PBE-GGA).

Summary:
- Space group: P4/mmm
- Total energy: -4.504 eV per atom
- Crystal system: tetragonal
- Uncorrected formation energy: -3.9 eV/f.u.

a b c (Å): 4.879 4.879 5.615
angles (deg): 90.00 90.00 90.00
Positions (direct):
Cs  0.000  0.000  0.000
V  0.500  0.500  0.500
Se  0.000  0.500  0.500
Se  0.500  0.000  0.500
Br  0.500  0.500  0.000

---

Entry 3:
Entry from Alexandria via LeMat-Bulk: ScTlFe2Br8 after structural relaxation (PBE-GGA).

Summary:
- Space group: C2/m
- Total energy: -4.113 eV per atom
- Crystal system: monoclinic
- Uncorrected formation energy: -10.4 eV/f.u.

a b c (Å): 6.730 6.730 9.665
angles (deg): 92.81 92.81 69.37
Positions (direct):
Sc  0.000  0.000  0.000
Tl  0.000  0.000  0.500
Fe  0.370  0.370  0.212
Fe  0.630  0.630  0.788
Br  0.235  0.745  0.799
Br  0.240  0.240  0.000
Br  0.255  0.765  0.201
Br  0.297  0.297  0.436
Br  0.703  0.703  0.564
Br  0.745  0.235  0.799
Br  0.760  0.760  0.000
Br  0.765  0.255  0.201

---

Entry 4:
Entry from Alexandria via LeMat-Bulk: TbTm6In after structural relaxation (PBE-GGA).

Summary:
- Space group: C2/m
- Total energy: -4.207 eV per atom
- Formation energy from the elements: 0.068 eV/atom
- Crystal system: monoclinic

a b c (Å): 6.521 6.521 6.467
angles (deg): 90.05 90.05 120.46
Positions (direct):
Tb  0.000  0.000  0.000
Tm  0.007  0.571  0.749
Tm  0.429  0.993  0.251
Tm  0.440  0.440  0.748
Tm  0.560  0.560  0.252
Tm  0.571  0.007  0.749
Tm  0.993  0.429  0.251
In  0.000  0.000  0.500

---

Entry 5:
Entry from Alexandria via LeMat-Bulk: TlPdPb4 after structural relaxation (PBE-GGA).

Summary:
- Space group: P-1
- Offset from the most stable computed form: 49 meV per atom
- Total energy: -3.757 eV per atom
- Formation energy from the elements: -0.025 eV/atom
- Crystal system: triclinic

a b c (Å): 6.558 6.615 9.189
angles (deg): 71.63 69.49 89.83
Positions (direct):
Tl  0.076  0.250  0.000
Tl  0.924  0.750  0.000
Pd  0.000  0.500  0.500
Pd  0.500  0.000  0.500
Pb  0.066  0.079  0.629
Pb  0.306  0.579  0.629
Pb  0.310  0.526  0.185
Pb  0.499  0.975  0.814
Pb  0.501  0.025  0.186
Pb  0.690  0.474  0.815
Pb  0.694  0.421  0.371
Pb  0.934  0.921  0.371

---

Entry 6:
Entry from Alexandria via LeMat-Bulk: Mg12Zn2Ga5 after structural relaxation (PBE-GGA).

Summary:
- Space group: C2/m
- Total energy: -2.001 eV per atom
- Formation energy from the elements: -0.063 eV/atom
- Crystal system: monoclinic

a b c (Å): 7.208 7.208 7.840
angles (deg): 93.45 93.45 74.97
Positions (direct):
Mg  0.083  0.083  0.252
Mg  0.103  0.679  0.118
Mg  0.178  0.527  0.735
Mg  0.321  0.897  0.882
Mg  0.378  0.378  0.385
Mg  0.473  0.822  0.265
Mg  0.527  0.178  0.735
Mg  0.622  0.622  0.615
Mg  0.679  0.103  0.118
Mg  0.822  0.473  0.265
Mg  0.897  0.321  0.882
Mg  0.917  0.917  0.748
Zn  0.213  0.787  0.500
Zn  0.787  0.213  0.500
Ga  0.163  0.163  0.602
Ga  0.270  0.270  0.046
Ga  0.500  0.500  0.000
Ga  0.730  0.730  0.954
Ga  0.837  0.837  0.398

---

Entry 7:
Entry from Alexandria via LeMat-Bulk: Ag2PW after structural relaxation (PBE-GGA).

Summary:
- Space group: P4/nmm
- Total energy: -6.010 eV per atom
- Formation energy from the elements: 0.006 eV/atom
- Crystal system: tetragonal

a b c (Å): 3.120 3.120 13.642
angles (deg): 90.00 90.00 90.00
Positions (direct):
Ag  0.250  0.250  0.068
Ag  0.250  0.250  0.793
Ag  0.750  0.750  0.207
Ag  0.750  0.750  0.932
P  0.250  0.250  0.349
P  0.750  0.750  0.651
W  0.250  0.250  0.569
W  0.750  0.750  0.431

---

Entry 8:
Entry from Alexandria via LeMat-Bulk: SbTeW2 after structural relaxation (PBE-GGA).

Summary:
- Space group: I-4m2
- Offset from the most stable computed form: 646 meV per atom
- Total energy: -7.367 eV per atom
- Crystal system: tetragonal
- Uncorrected formation energy: 3.7 eV/f.u.

a b c (Å): 5.094 5.094 5.094
angles (deg): 129.10 129.10 74.84
Positions (direct):
Sb  0.000  0.000  0.000
Te  0.250  0.750  0.500
W  0.500  0.500  0.000
W  0.750  0.250  0.500